1.
The following is a GGA-PBE calculation of a relaxed HfPbS2 crystal, from Alexandria.

abc: 3.561 3.561 8.844
angles: 90.00 90.00 120.00
Atoms (fractional coordinates):
1 Hf 0.000 0.000 0.000
2 Pb 0.333 0.667 0.503
3 S 0.333 0.667 0.828
4 S 0.667 0.333 0.171

Calculated values
The symmetry is P3m1, No. 156. As for the total DFT energy (no corrections): -6.6043 eV per atom.



2.
The following is a GGA-PBE calculation of a relaxed HfPbS2 crystal, from Alexandria.

abc: 3.945 3.945 24.958
angles: 90.00 90.00 120.00
Atoms (fractional coordinates):
1 Hf 0.000 0.000 0.000
2 Hf 0.333 0.667 0.667
3 Hf 0.667 0.333 0.333
4 Pb 0.000 0.000 0.500
5 Pb 0.333 0.667 0.167
6 Pb 0.667 0.333 0.833
7 S 0.000 0.000 0.096
8 S 0.000 0.000 0.904
9 S 0.333 0.667 0.571
10 S 0.333 0.667 0.762
11 S 0.667 0.333 0.238
12 S 0.667 0.333 0.429

Calculated values
The symmetry is R-3m, No. 166. As for the total DFT energy (no corrections): -5.7581 eV per atom.



3.
The following is a GGA-PBE calculation of a relaxed HfPbS2 crystal, from Alexandria.

abc: 3.927 3.927 5.580
angles: 90.00 90.00 90.00
Atoms (fractional coordinates):
1 Hf 0.000 0.000 0.000
2 Pb 0.500 0.500 0.500
3 S 0.000 0.000 0.500
4 S 0.500 0.500 0.000

Calculated values
The symmetry is P4/mmm, No. 123. As for the total DFT energy (no corrections): -5.9016 eV per atom.



4.
The following is a GGA-PBE calculation of a relaxed HfPbS2 crystal, from Alexandria.

abc: 7.568 3.928 13.139
angles: 90.00 90.00 90.00
Atoms (fractional coordinates):
1 Hf 0.035 0.250 0.125
2 Hf 0.465 0.750 0.625
3 Hf 0.535 0.250 0.375
4 Hf 0.965 0.750 0.875
5 Pb 0.161 0.750 0.347
6 Pb 0.339 0.250 0.847
7 Pb 0.661 0.750 0.153
8 Pb 0.839 0.250 0.653
9 S 0.181 0.750 0.029
10 S 0.184 0.750 0.730
11 S 0.316 0.250 0.230
12 S 0.319 0.250 0.529
13 S 0.681 0.750 0.471
14 S 0.684 0.750 0.770
15 S 0.816 0.250 0.270
16 S 0.819 0.250 0.971

Calculated values
The symmetry is Pnma, No. 62. As for the total DFT energy (no corrections): -6.3524 eV per atom.



5.
The following is a GGA-PBE calculation of a relaxed Hf8PbS2 crystal, from Alexandria.

abc: 8.611 8.611 8.611
angles: 145.14 140.69 53.54
Atoms (fractional coordinates):
1 Hf 0.106 0.106 0.000
2 Hf 0.152 0.404 0.749
3 Hf 0.275 0.775 0.500
4 Hf 0.345 0.596 0.749
5 Hf 0.655 0.404 0.251
6 Hf 0.725 0.225 0.500
7 Hf 0.848 0.596 0.251
8 Hf 0.894 0.894 0.000
9 Pb 0.500 0.000 0.500
10 S 0.267 0.267 0.000
11 S 0.733 0.733 0.000

Calculated values
The symmetry is Immm, No. 71. As for the total DFT energy (no corrections): -8.6366 eV per atom.



6.
The following is a GGA-PBE calculation of a relaxed HfPbS3 crystal, from Alexandria.

abc: 8.120 3.728 8.131
angles: 90.00 108.88 90.00
Atoms (fractional coordinates):
1 Hf 0.000 0.000 0.000
2 Hf 0.500 0.000 0.500
3 Pb 0.000 0.000 0.500
4 Pb 0.499 0.500 0.998
5 S 0.067 0.500 0.817
6 S 0.317 0.500 0.567
7 S 0.324 0.000 0.176
8 S 0.675 0.000 0.824
9 S 0.683 0.500 0.433
10 S 0.932 0.500 0.182

Calculated values
As for the energy above the lowest structure with this stoichiometry: 9.6 kJ/mol of atoms. The symmetry is Pm, No. 6.



7.
The following is a GGA-PBE calculation of a relaxed HfPb2S4 crystal, from Alexandria.

abc: 7.338 12.673 3.861
angles: 90.00 90.00 90.00
Atoms (fractional coordinates):
1 Hf 0.000 0.000 0.000
2 Hf 0.500 0.500 0.000
3 Pb 0.120 0.333 0.500
4 Pb 0.380 0.833 0.500
5 Pb 0.620 0.167 0.500
6 Pb 0.880 0.667 0.500
7 S 0.108 0.808 0.000
8 S 0.224 0.043 0.500
9 S 0.276 0.543 0.500
10 S 0.392 0.308 0.000
11 S 0.608 0.692 0.000
12 S 0.724 0.457 0.500
13 S 0.776 0.957 0.500
14 S 0.892 0.192 0.000

Calculated values
As for the energy above the lowest structure with this stoichiometry: 0.0 kJ/mol of atoms. The symmetry is Pbam, No. 55.



8.
The following is a GGA-PBE calculation of a relaxed HfPb2S4 crystal, from Alexandria.

abc: 4.921 4.921 14.926
angles: 90.00 90.00 90.00
Atoms (fractional coordinates):
1 Hf 0.000 0.000 0.000
2 Hf 0.500 0.500 0.500
3 Pb 0.000 0.000 0.356
4 Pb 0.000 0.000 0.644
5 Pb 0.500 0.500 0.144
6 Pb 0.500 0.500 0.856
7 S 0.000 0.000 0.171
8 S 0.000 0.000 0.829
9 S 0.000 0.500 0.000
10 S 0.000 0.500 0.500
11 S 0.500 0.000 0.000
12 S 0.500 0.000 0.500
13 S 0.500 0.500 0.329
14 S 0.500 0.500 0.671

Calculated values
As for the energy above the lowest structure with this stoichiometry: 14.5 kJ/mol of atoms. The symmetry is I4/mmm, No. 139.



9.
The following is a GGA-PBE calculation of a relaxed HfPbS2 crystal, from Alexandria.

abc: 3.565 3.565 26.958
angles: 90.00 90.00 120.00
Atoms (fractional coordinates):
1 Hf 0.000 0.000 0.000
2 Hf 0.333 0.667 0.667
3 Hf 0.667 0.333 0.333
4 Pb 0.000 0.000 0.500
5 Pb 0.333 0.667 0.167
6 Pb 0.667 0.333 0.833
7 S 0.000 0.000 0.389
8 S 0.000 0.000 0.611
9 S 0.333 0.667 0.056
10 S 0.333 0.667 0.277
11 S 0.667 0.333 0.723
12 S 0.667 0.333 0.944

Calculated values
The symmetry is R-3m, No. 166. As for the total DFT energy (no corrections): -6.6244 eV per atom.



10.
The following is a GGA-PBE calculation of a relaxed HfPbS2 crystal, from Alexandria.

abc: 7.643 7.643 6.698
angles: 90.00 90.00 90.00
Atoms (fractional coordinates):
1 Hf 0.000 0.500 0.250
2 Hf 0.000 0.500 0.750
3 Hf 0.500 0.000 0.250
4 Hf 0.500 0.000 0.750
5 Pb 0.000 0.000 0.250
6 Pb 0.000 0.000 0.750
7 Pb 0.500 0.500 0.250
8 Pb 0.500 0.500 0.750
9 S 0.168 0.332 0.000
10 S 0.168 0.668 0.500
11 S 0.332 0.168 0.500
12 S 0.332 0.832 0.000
13 S 0.668 0.168 0.000
14 S 0.668 0.832 0.500
15 S 0.832 0.332 0.500
16 S 0.832 0.668 0.000

Calculated values
The symmetry is I4/mcm, No. 140. As for the total DFT energy (no corrections): -6.2024 eV per atom.



11.
The following is a GGA-PBE calculation of a relaxed HfPbS3 crystal, from Alexandria.

abc: 4.954 4.954 4.954
angles: 90.00 90.00 90.00
Atoms (fractional coordinates):
1 Hf 0.000 0.000 0.000
2 Pb 0.500 0.500 0.500
3 S 0.000 0.000 0.500
4 S 0.000 0.500 0.000
5 S 0.500 0.000 0.000

Calculated values
As for the energy above the lowest structure with this stoichiometry: 22.5 kJ/mol of atoms. The symmetry is Pm-3m, No. 221.



12.
The following is a GGA-PBE calculation of a relaxed HfPbS2 crystal, from Alexandria.

abc: 3.732 3.732 26.738
angles: 90.00 90.00 120.00
Atoms (fractional coordinates):
1 Hf 0.000 0.000 0.000
2 Hf 0.333 0.667 0.667
3 Hf 0.667 0.333 0.333
4 Pb 0.000 0.000 0.506
5 Pb 0.333 0.667 0.172
6 Pb 0.667 0.333 0.839
7 S 0.000 0.000 0.380
8 S 0.000 0.000 0.912
9 S 0.333 0.667 0.047
10 S 0.333 0.667 0.578
11 S 0.667 0.333 0.245
12 S 0.667 0.333 0.713

Calculated values
The symmetry is R3m, No. 160. As for the total DFT energy (no corrections): -6.1654 eV per atom.